First-principles (PBE) data for crystalline Cd2SnPt at its relaxed geometry, as listed in the Alexandria database.

Cell lengths 11.532, 11.532, 11.532 Å; angles 14.91, 14.91, 14.91 degrees
Element x y z (fractional)
Cd1 0.080 0.080 0.080
Cd2 0.920 0.920 0.920
Sn1 0.500 0.500 0.500
Pt1 0.000 0.000 0.000

Results
volume = 88.5 Å³ per cell
DOS(E_F) = 0.666 states/eV per atom
theoretical density = 10108 kg/m³
symmetry = R-3m (166)
formation energy from the elements = 19.08 kJ/mol of atoms